Density functional theory data (PBE) for KCaSb2 after structural relaxation.

The structure in CIF format:
```
data_KCaSb2
_chemical_formula_sum 'K1 Ca1 Sb2'
_symmetry_space_group_name_H-M 'P 4/m m m'
_symmetry_Int_Tables_number 123
_symmetry_space_group_name_Hall '-P 4 2'
_cell_length_a 5.0477
_cell_length_b 5.0477
_cell_length_c 4.7444
_cell_angle_alpha 90.00
_cell_angle_beta 90.00
_cell_angle_gamma 90.00
loop_
_atom_site_label
_atom_site_type_symbol
_atom_site_fract_x
_atom_site_fract_y
_atom_site_fract_z
_atom_site_occupancy
K1 K 0.0000 0.0000 0.0000 1
Ca1 Ca 0.5000 0.5000 0.0000 1
Sb1 Sb 0.0000 0.5000 0.5000 1
```

Offset from the most stable computed form ... 134.6 meV per atom
Uncorrected formation energy ... -0.51 eV/atom
Energy ... -3.34 eV/atom